# 1
Crystalline TlAg2Pd2 at its relaxed geometry. Source: Alexandria via LeMat-Bulk, functional GGA-PBE.

## Properties
Space-group type: No. 139
Mass density: 10.4 g/cm3

Cell lengths 3.870, 3.870, 7.303 Å; angles 74.64, 74.64, 90.00 degrees
Fractional positions:
Tl 0.000 0.000 0.000
Ag 0.603 0.603 0.794
Pd 0.250 0.750 0.500
Pd 0.750 0.250 0.500
Ag 0.397 0.397 0.206

---

# 2
Crystalline Na4SrLi at its relaxed geometry. Source: Alexandria via LeMat-Bulk, functional GGA-PBE.

## Properties
Space-group type: No. 12
Mass density: 1.4 g/cm3

Cell lengths 6.299, 8.150, 10.225 Å; angles 113.49, 107.71, 90.00 degrees
Fractional positions:
Na 0.832 0.337 0.673
Na 0.000 0.189 0.000
Na 0.000 0.811 0.000
Na 0.607 0.894 0.220
Na 0.607 0.327 0.220
Li 0.268 0.498 0.996
Sr 0.208 0.213 0.426
Sr 0.792 0.787 0.574
Na 0.168 0.663 0.327
Na 0.393 0.673 0.780
Li 0.732 0.502 0.004
Na 0.393 0.106 0.780

---

no.,M_tot (μB per cell),polymorph energy (0 for the lowest one) (meV per atom),ΔH_f (0 K) (eV/atom)
1,0.00,248,0.1890
2,0.00,0,0.0737